Entry 1:
First-principles (PBE) data for Be2ReSe after structural relaxation, as listed in Alexandria via LeMat-Bulk.

Calculated values
For the final energy, the calculation gives -5.62 eV per atom. Its space-group type is P2/m. The formation energy (no corrections) is 224 meV/atom.

a b c (Å): 3.3223 3.0802 5.0188
angles (deg): 89.89 90.00 90.00
Sites, in units of the cell vectors:
1 Re 0.5000 0.2500 0.2500
2 Se 0.5000 0.7500 0.7500
3 Be 0.0000 0.7513 0.0523
4 Be 0.0000 0.7487 0.4477



Entry 2:
First-principles (PBE) data for ScTaPd after structural relaxation, as listed in Alexandria via LeMat-Bulk.

Calculated values
For the final energy, the calculation gives -8.06 eV per atom. Its space-group type is Cmmm. The value obtained for the energy relative to the elements is -0.26 eV/atom.

a b c (Å): 4.1920 2.9615 12.4168
angles (deg): 90.00 90.00 135.05
Sites, in units of the cell vectors:
1 Ta 0.6945 0.3891 0.0000
2 Ta 0.1943 0.3887 0.5000
3 Pd 0.6944 0.3887 0.3454
4 Pd 0.6944 0.3887 0.6546
5 Sc 0.1945 0.3890 0.8176
6 Sc 0.1945 0.3890 0.1824



Entry 3:
First-principles (PBE) data for SrBeAu after structural relaxation, as listed in Alexandria via LeMat-Bulk.

Calculated values
For the final energy, the calculation gives -2.78 eV per atom. Its space-group type is F-43m. The value obtained for the energy relative to the elements is 0.12 eV/atom.

a b c (Å): 4.6790 4.6790 4.6790
angles (deg): 60.00 60.00 60.00
Sites, in units of the cell vectors:
1 Sr 0.0000 0.0000 0.0000
2 Au 0.5000 0.5000 0.5000
3 Be 0.2500 0.2500 0.2500